(1)
# PBE SrHgRu2, optimized geometry
# - energy of formation (eV/atom) = 0.736
# - size of the total moment (μB/cell) = 6.0
data_SrHgRu2
_chemical_formula_sum 'Sr2 Hg2 Ru4'
_space_group_name_H-M_alt 'I m m m'
_space_group_IT_number 71
_space_group_name_Hall '-I 2 2'
_cell_length_a 4.2507
_cell_length_b 4.2844
_cell_length_c 9.0130
_cell_angle_alpha 90.00
_cell_angle_beta 90.00
_cell_angle_gamma 90.00
loop_
_atom_site_label
_atom_site_type_symbol
_atom_site_fract_x
_atom_site_fract_y
_atom_site_fract_z
Sr1 Sr 0.0000 0.0000 0.0000
Hg1 Hg 0.0000 0.0000 0.5000
Ru1 Ru 0.0000 0.5000 0.2495

(2)
# PBE RbReSn2, optimized geometry
# - energy of formation (eV/atom) = 0.491
# - size of the total moment (μB/cell) = 0.0
data_RbReSn2
_chemical_formula_sum 'Rb4 Re4 Sn8'
_space_group_name_H-M_alt 'I 41/a m d'
_space_group_IT_number 141
_cell_length_a 6.7643
_cell_length_b 6.7643
_cell_length_c 15.1651
_cell_angle_alpha 90.00
_cell_angle_beta 90.00
_cell_angle_gamma 90.00
loop_
_space_group_symop_operation_xyz
'x,y,z'
'-x,-y,-z'
'-y+1/4,x+3/4,z+1/4'
'y+1/4,-x+3/4,-z+1/4'
'-x+1/2,-y,z+1/2'
'x+1/2,y,-z+1/2'
'y+1/4,-x+1/4,z+3/4'
'-y+1/4,x+1/4,-z+3/4'
'x,-y,-z'
'-x,y,z'
'-y+1/4,-x+1/4,-z+3/4'
'y+1/4,x+1/4,z+3/4'
'-x+1/2,y,-z+1/2'
'x+1/2,-y,z+1/2'
'y+1/4,x+3/4,-z+1/4'
'-y+1/4,-x+3/4,z+1/4'
'x+1/2,y+1/2,z+1/2'
'-x+1/2,-y+1/2,-z+1/2'
'-y+3/4,x+1/4,z+3/4'
'y+3/4,-x+1/4,-z+3/4'
'-x,-y+1/2,z'
'x,y+1/2,-z'
'y+3/4,-x+3/4,z+1/4'
'-y+3/4,x+3/4,-z+1/4'
'x+1/2,-y+1/2,-z+1/2'
'-x+1/2,y+1/2,z+1/2'
'-y+3/4,-x+3/4,-z+1/4'
'y+3/4,x+3/4,z+1/4'
'-x,y+1/2,-z'
'x,-y+1/2,z'
'y+3/4,x+1/4,-z+3/4'
'-y+3/4,-x+1/4,z+3/4'
loop_
_atom_site_label
_atom_site_type_symbol
_atom_site_fract_x
_atom_site_fract_y
_atom_site_fract_z
Rb1 Rb 0.0000 0.2500 0.3750
Re1 Re 0.0000 0.2500 0.8750
Sn1 Sn 0.0000 0.0000 0.0000

(3)
# PBE YNiSb2H, optimized geometry
# - size of the total moment (μB/cell) = 0.0
data_YNiSb2H
_chemical_formula_sum 'Y1 Ni1 Sb2 H1'
_space_group_name_H-M_alt 'P 4/m m m'
_space_group_IT_number 123
_space_group_name_Hall '-P 4 2'
_cell_length_a 4.6932
_cell_length_b 4.6932
_cell_length_c 4.1882
_cell_angle_alpha 90.00
_cell_angle_beta 90.00
_cell_angle_gamma 90.00
loop_
_atom_site_label
_atom_site_type_symbol
_atom_site_fract_x
_atom_site_fract_y
_atom_site_fract_z
Y1 Y 0.0000 0.0000 0.0000
Ni1 Ni 0.5000 0.5000 0.0000
Sb1 Sb 0.0000 0.5000 0.5000
H1 H 0.0000 0.0000 0.5000

(4)
# PBE YV2BiI, optimized geometry
# - formation energy without anion corrections (eV/atom) = 1.501
# - size of the total moment (μB/cell) = 5.5
data_YV2BiI
_chemical_formula_sum 'Y1 V2 Bi1 I1'
_space_group_name_H-M_alt 'P 4/m m m'
_space_group_IT_number 123
_space_group_name_Hall '-P 4 2'
_cell_length_a 5.4620
_cell_length_b 5.4620
_cell_length_c 5.7731
_cell_angle_alpha 90.00
_cell_angle_beta 90.00
_cell_angle_gamma 90.00
loop_
_atom_site_label
_atom_site_type_symbol
_atom_site_fract_x
_atom_site_fract_y
_atom_site_fract_z
Y1 Y 0.0000 0.0000 0.0000
V1 V 0.0000 0.5000 0.0000
Bi1 Bi 0.0000 0.0000 0.5000
I1 I 0.5000 0.5000 0.5000

(5)
# PBE BaCrSb2, optimized geometry
# - formation energy without anion corrections (eV/atom) = -0.008
# - size of the total moment (μB/cell) = 3.0
data_BaCrSb2
_chemical_formula_sum 'Ba1 Cr1 Sb2'
_space_group_name_H-M_alt 'P m m 2'
_space_group_IT_number 25
_cell_length_a 3.6888
_cell_length_b 4.0715
_cell_length_c 8.4235
_cell_angle_alpha 90.00
_cell_angle_beta 90.00
_cell_angle_gamma 90.00
loop_
_space_group_symop_operation_xyz
'x,y,z'
'-x,-y,z'
'-x,y,z'
'x,-y,z'
loop_
_atom_site_label
_atom_site_type_symbol
_atom_site_fract_x
_atom_site_fract_y
_atom_site_fract_z
Ba1 Ba 0.0000 0.0000 0.0000
Cr1 Cr 0.5000 0.5000 0.4223
Sb1 Sb 0.0000 0.0000 0.4130
Sb2 Sb 0.5000 0.5000 0.7465

(6)
# PBE Li3Sn2Au5, optimized geometry
# - energy of formation (eV/atom) = -0.261
# - size of the total moment (μB/cell) = 0.0
data_Li3Sn2Au5
_chemical_formula_sum 'Li12 Sn8 Au20'
_space_group_name_H-M_alt 'I b a m'
_space_group_IT_number 72
_space_group_name_Hall '-I 2 2c'
_cell_length_a 10.6270
_cell_length_b 13.9678
_cell_length_c 5.3920
_cell_angle_alpha 90.00
_cell_angle_beta 90.00
_cell_angle_gamma 90.00
loop_
_atom_site_label
_atom_site_type_symbol
_atom_site_fract_x
_atom_site_fract_y
_atom_site_fract_z
Li1 Li 0.0000 0.0000 0.2500
Li2 Li 0.1098 0.3439 0.0000
Sn1 Sn 0.0947 0.1618 0.5000
Au1 Au 0.0000 0.5000 0.2500
Au2 Au 0.2249 0.3228 0.5000
Au3 Au 0.2380 0.0000 0.2500

(7)
# PBE MgCoSi2, optimized geometry
# - formation energy without anion corrections (eV/atom) = -0.151
# - size of the total moment (μB/cell) = 0.0
data_MgCoSi2
_chemical_formula_sum 'Mg2 Co2 Si4'
_space_group_name_H-M_alt 'C 1 2/m 1'
_space_group_IT_number 12
_cell_length_a 7.5313
_cell_length_b 2.9788
_cell_length_c 5.4301
_cell_angle_alpha 90.00
_cell_angle_beta 102.19
_cell_angle_gamma 90.00
loop_
_space_group_symop_operation_xyz
'x,y,z'
'-x,-y,-z'
'-x,y,-z'
'x,-y,z'
'x+1/2,y+1/2,z'
'-x+1/2,-y+1/2,-z'
'-x+1/2,y+1/2,-z'
'x+1/2,-y+1/2,z'
loop_
_atom_site_label
_atom_site_type_symbol
_atom_site_fract_x
_atom_site_fract_y
_atom_site_fract_z
Mg1 Mg 0.0000 0.0000 0.0000
Co1 Co 0.0000 0.5000 0.5000
Si1 Si 0.2338 0.0000 0.6772

(8)
# PBE LaAl2Cr, optimized geometry
# - energy of formation (eV/atom) = 0.262
# - size of the total moment (μB/cell) = 10.2
data_LaAl2Cr
_chemical_formula_sum 'La3 Al6 Cr3'
_space_group_name_H-M_alt 'R -3 m'
_space_group_IT_number 166
_space_group_name_Hall '-R 3 2"'
_cell_length_a 3.1347
_cell_length_b 3.1347
_cell_length_c 29.0551
_cell_angle_alpha 90.00
_cell_angle_beta 90.00
_cell_angle_gamma 120.00
loop_
_atom_site_label
_atom_site_type_symbol
_atom_site_fract_x
_atom_site_fract_y
_atom_site_fract_z
La1 La 0.0000 0.0000 0.0000
Al1 Al 0.0000 0.0000 0.2355
Cr1 Cr 0.0000 0.0000 0.5000

(9)
# PBE Sn3RhC, optimized geometry
# - energy of formation (eV/atom) = 1.196
# - size of the total moment (μB/cell) = 1.1
data_Sn3RhC
_chemical_formula_sum 'Sn3 Rh1 C1'
_space_group_name_H-M_alt 'P m -3 m'
_space_group_IT_number 221
_space_group_name_Hall '-P 4 2 3'
_cell_length_a 5.0753
_cell_length_b 5.0753
_cell_length_c 5.0753
_cell_angle_alpha 90.00
_cell_angle_beta 90.00
_cell_angle_gamma 90.00
loop_
_atom_site_label
_atom_site_type_symbol
_atom_site_fract_x
_atom_site_fract_y
_atom_site_fract_z
Sn1 Sn 0.0000 0.0000 0.5000
Rh1 Rh 0.0000 0.0000 0.0000
C1 C 0.5000 0.5000 0.5000

(10)
# PBE LiMgRh2, optimized geometry
# - energy of formation (eV/atom) = -0.017
# - size of the total moment (μB/cell) = 0.0
data_LiMgRh2
_chemical_formula_sum 'Li3 Mg3 Rh6'
_space_group_name_H-M_alt 'R 3 m'
_space_group_IT_number 160
_space_group_name_Hall 'R 3 -2"'
_cell_length_a 2.8102
_cell_length_b 2.8102
_cell_length_c 27.3368
_cell_angle_alpha 90.00
_cell_angle_beta 90.00
_cell_angle_gamma 120.00
loop_
_atom_site_label
_atom_site_type_symbol
_atom_site_fract_x
_atom_site_fract_y
_atom_site_fract_z
Li1 Li 0.0000 0.0000 0.0000
Mg1 Mg 0.0000 0.0000 0.2355
Rh1 Rh 0.0000 0.0000 0.4889
Rh2 Rh 0.0000 0.0000 0.7436

(11)
# PBE CuSn2Ge, optimized geometry
# - energy of formation (eV/atom) = 0.233
# - size of the total moment (μB/cell) = 0.0
data_CuSn2Ge
_chemical_formula_sum 'Cu3 Sn6 Ge3'
_space_group_name_H-M_alt 'R -3 m'
_space_group_IT_number 166
_space_group_name_Hall '-R 3 2"'
_cell_length_a 3.2021
_cell_length_b 3.2021
_cell_length_c 29.9542
_cell_angle_alpha 90.00
_cell_angle_beta 90.00
_cell_angle_gamma 120.00
loop_
_atom_site_label
_atom_site_type_symbol
_atom_site_fract_x
_atom_site_fract_y
_atom_site_fract_z
Cu1 Cu 0.0000 0.0000 0.0000
Sn1 Sn 0.0000 0.0000 0.4030
Ge1 Ge 0.0000 0.0000 0.5000

(12)
# PBE Hf3ReNi, optimized geometry
# - energy of formation (eV/atom) = 0.909
# - size of the total moment (μB/cell) = 0.0
data_Hf3ReNi
_chemical_formula_sum 'Hf3 Re1 Ni1'
_space_group_name_H-M_alt 'P m -3 m'
_space_group_IT_number 221
_space_group_name_Hall '-P 4 2 3'
_cell_length_a 4.9915
_cell_length_b 4.9915
_cell_length_c 4.9915
_cell_angle_alpha 90.00
_cell_angle_beta 90.00
_cell_angle_gamma 90.00
loop_
_atom_site_label
_atom_site_type_symbol
_atom_site_fract_x
_atom_site_fract_y
_atom_site_fract_z
Hf1 Hf 0.0000 0.0000 0.5000
Re1 Re 0.0000 0.0000 0.0000
Ni1 Ni 0.5000 0.5000 0.5000

Number 1: electronic total energy -35.18 eV per cell, density of states at the Fermi level 1.083 states/eV/atom. Number 2: electronic total energy -77.83 eV per cell, density of states at the Fermi level 0.115 states/eV/atom. Number 3: electronic total energy -24.07 eV per cell, density of states at the Fermi level 0.528 states/eV/atom. Number 4: electronic total energy -22.63 eV per cell, density of states at the Fermi level 2.130 states/eV/atom. Number 5: electronic total energy -19.82 eV per cell, density of states at the Fermi level 0.471 states/eV/atom. Number 6: electronic total energy -130.97 eV per cell, density of states at the Fermi level 0.247 states/eV/atom. Number 7: electronic total energy -40.30 eV per cell, density of states at the Fermi level 0.578 states/eV/atom. Number 8: electronic total energy -62.97 eV per cell, density of states at the Fermi level 1.117 states/eV/atom. Number 9: electronic total energy -22.61 eV per cell, density of states at the Fermi level 0.468 states/eV/atom. Number 10: electronic total energy -54.84 eV per cell, density of states at the Fermi level 1.007 states/eV/atom. Number 11: electronic total energy -47.36 eV per cell, density of states at the Fermi level 0.518 states/eV/atom. Number 12: electronic total energy -43.54 eV per cell, density of states at the Fermi level 1.027 states/eV/atom.